Computed, not measured: an optimized crystal structure of SmMnF5 at the PBE+U level of DFT.

Symmetry: No. 15
Total energy, eV per atom: -6.55

a b c (Å): 5.851 5.851 7.851
angles (deg): 70.56 70.56 73.09
Fractional coordinates of all 14 atoms:
1 F 0.309 0.677 0.464
2 Mn 0.000 0.000 0.500
3 Sm 0.448 0.552 0.750
4 F 0.264 0.220 0.374
5 F 0.884 0.116 0.250
6 F 0.736 0.780 0.626
7 F 0.323 0.691 0.036
8 F 0.220 0.264 0.874
9 F 0.116 0.884 0.750
10 F 0.780 0.736 0.126
11 Mn 0.000 0.000 0.000
12 Sm 0.552 0.448 0.250
13 F 0.677 0.309 0.964
14 F 0.691 0.323 0.536